1.
A plane-wave DFT calculation with PBE was carried out for crystalline Nd2ThBi at its relaxed geometry.

```
4
Lattice="-3.1554 2.5077 -2.6120 1.3167 -2.6500 -4.1347 -3.6000 -3.4325 1.0535" Properties=species:S:1:pos:R:3 pbc="T T T"
Nd -1.8000 -1.7162 0.5268
Nd 0.6583 -1.3250 -2.0674
Bi -1.5777 1.2538 -1.3060
Th -2.7193 -1.7874 -2.8466
```

Its space-group type is P4/mmm, No. 123. The volume is 31.04 A^3/atom. Its crystal system is tetragonal. The relative energy among the computed polymorphs is 19 meV/atom. The calculation puts the theoretical density at 9.76 g/cm³.

***

2.
A plane-wave DFT calculation with PBE was carried out for crystalline CrGaFeNi at its relaxed geometry.

```
4
Lattice="-0.0789 -0.6891 -4.0063 3.4679 -0.6559 -2.0187 0.8429 -3.7069 -1.4422" Properties=species:S:1:pos:R:3 pbc="T T T"
Ni 1.0580 -1.2630 -1.8668
Fe 3.1739 -3.7889 -5.6004
Ga 0.0000 0.0000 0.0000
Cr 2.1159 -2.5259 -3.7336
```

Its space-group type is F-43m, No. 216. The volume is 11.88 A^3/atom. The calculation puts the total energy at -6.784 eV/atom. Its crystal system is cubic. The calculation puts the theoretical density at 8.25 g/cm³.

***

3.
A plane-wave DFT calculation with PBE was carried out for crystalline HoEr3Cu4 at its relaxed geometry.

```
8
Lattice="-3.2481 -0.4799 0.9810 1.1599 -4.4238 1.6761 2.0641 3.8430 8.7144" Properties=species:S:1:pos:R:3 pbc="T T T"
Ho -1.0441 -2.4519 1.3286
Cu 1.0321 1.9215 4.3572
Cu 2.1263 0.6670 7.3663
Cu 0.0000 0.0000 0.0000
Cu 1.0978 -1.2478 3.0242
Er -1.1072 0.7223 2.6726
Er -0.0120 -0.5304 5.6858
Er -0.0768 2.6407 7.0229
```

Its space-group type is Pmmm, No. 47. The volume is 20.33 A^3/atom. The calculation puts the total energy at -4.607 eV/atom. Its crystal system is orthorhombic. The calculation puts the theoretical density at 9.40 g/cm³.

***

4.
A plane-wave DFT calculation with PBE was carried out for crystalline CsTaAl at its relaxed geometry.

```
6
Lattice="3.1421 0.0000 0.0000 0.0000 3.1421 0.0000 0.0000 0.0000 16.3880" Properties=species:S:1:pos:R:3 pbc="T T T"
Cs 0.0000 0.0000 3.5797
Cs 1.5711 1.5711 11.7737
Al 0.0000 0.0000 8.7558
Al 1.5711 1.5711 0.5618
Ta 0.0000 0.0000 15.2780
Ta 1.5711 1.5711 7.0840
```

Its space-group type is I4mm, No. 107. The volume is 26.97 A^3/atom. Its crystal system is tetragonal. The relative energy among the computed polymorphs is 622 meV/atom. The calculation puts the theoretical density at 7.00 g/cm³.

***

Q: Which formula does entry 1 have?
A: Nd2ThBi

***

Q: Which formula does entry 2 have?
A: CrGaFeNi